Record 1
Na3ZrC: single point on PBEsol structure, meta-GGA SCAN.

Values from the calculation:
Formation energy from the elements = 2.405 eV/atom
Symmetry = Pm-3m, No. 221

Cell lengths 6.2789, 6.2789, 6.2789 Å; angles 90.00, 90.00, 90.00 degrees
Atoms (fractional coordinates):
1 Na 0.0000 0.5000 0.0000
2 Na 0.0000 0.0000 0.5000
3 Na 0.5000 0.0000 0.0000
4 C 0.5000 0.5000 0.5000
5 Zr 0.0000 0.0000 0.0000


Record 2
MgSb2Pt: single point on PBEsol structure, meta-GGA SCAN.

Values from the calculation:
Formation energy from raw total energies = -334 meV/atom
Symmetry = P4mm, No. 99

Cell lengths 3.2772, 3.2772, 7.9679 Å; angles 90.00, 90.00, 90.00 degrees
Atoms (fractional coordinates):
1 Mg 0.0000 0.0000 0.5414
2 Pt 0.5000 0.5000 0.7398
3 Sb 0.0000 0.0000 0.9351
4 Sb 0.5000 0.5000 0.2837


Record 3
ReWC2Se: single point on PBEsol structure, meta-GGA SCAN.

Values from the calculation:
Formation energy from raw total energies = 2007 meV/atom
Symmetry = P4/mmm, No. 123

Cell lengths 3.9050, 3.9050, 5.1738 Å; angles 90.00, 90.00, 90.00 degrees
Atoms (fractional coordinates):
1 Re 0.0000 0.0000 0.0000
2 C 0.0000 0.5000 0.0000
3 C 0.5000 0.0000 0.0000
4 Se 0.0000 0.0000 0.5000
5 W 0.5000 0.5000 0.5000


For reference, DOS at the Fermi energy by record: 10.73, 1.36, 3.10 states/eV/cell.